Record 1
# CrFe2Ru | the Alexandria database | PBEsol | relaxed
# - Magnetic moment: 0.293 μB/atom
# - Density of states at the Fermi level: 4.30 states/eV/f.u.
# - ΔH_f (0 K): 0.08 eV/atom
data_CrFe2Ru
_cell_length_a 3.5390
_cell_length_b 3.5390
_cell_length_c 7.1738
_cell_angle_alpha 90.00
_cell_angle_beta 90.00
_cell_angle_gamma 90.00
_symmetry_space_group_name_H-M 'I 4/m m m'
_symmetry_Int_Tables_number 139
_symmetry_space_group_name_Hall '-I 4 2'
loop_
_atom_site_label
_atom_site_type_symbol
_atom_site_fract_x
_atom_site_fract_y
_atom_site_fract_z
_atom_site_occupancy
Cr1 Cr 0.0000 0.0000 0.0000 1
Fe1 Fe 0.0000 0.5000 0.2500 1
Ru1 Ru 0.0000 0.0000 0.5000 1

Record 2
# TcB2PdC | the Alexandria database | PBEsol | relaxed
# - Magnetic moment: 0.231 μB/atom
# - Density of states at the Fermi level: 4.02 states/eV/f.u.
# - ΔH_f (0 K): 2.15 eV/atom
data_TcB2PdC
_cell_length_a 3.9989
_cell_length_b 3.9989
_cell_length_c 3.7762
_cell_angle_alpha 90.00
_cell_angle_beta 90.00
_cell_angle_gamma 90.00
_symmetry_space_group_name_H-M 'P 4/m m m'
_symmetry_Int_Tables_number 123
_symmetry_space_group_name_Hall '-P 4 2'
loop_
_atom_site_label
_atom_site_type_symbol
_atom_site_fract_x
_atom_site_fract_y
_atom_site_fract_z
_atom_site_occupancy
Tc1 Tc 0.0000 0.0000 0.0000 1
B1 B 0.0000 0.5000 0.5000 1
Pd1 Pd 0.5000 0.5000 0.5000 1
C1 C 0.5000 0.5000 0.0000 1

Record 3
# ErMn4Cu3O12 | the Alexandria database | PBEsol | relaxed
# - Magnetic moment: 0.468 μB/atom
# - Density of states at the Fermi level: 5.92 states/eV/f.u.
# - Formation energy from raw total energies: -3150 kJ/mol of formula units
data_ErMn4Cu3O12
_cell_length_a 7.1591
_cell_length_b 7.1591
_cell_length_c 7.1591
_cell_angle_alpha 90.00
_cell_angle_beta 90.00
_cell_angle_gamma 90.00
_symmetry_space_group_name_H-M 'I m -3'
_symmetry_Int_Tables_number 204
_symmetry_space_group_name_Hall '-I 2 2 3'
loop_
_atom_site_label
_atom_site_type_symbol
_atom_site_fract_x
_atom_site_fract_y
_atom_site_fract_z
_atom_site_occupancy
Er1 Er 0.0000 0.0000 0.0000 1
Mn1 Mn 0.2500 0.2500 0.2500 1
Cu1 Cu 0.0000 0.0000 0.5000 1
O1 O 0.0000 0.1764 0.2973 1

Record 4
# Cd2CuRh | the Alexandria database | PBEsol | relaxed
# - Magnetic moment: 0.000 μB/atom
# - Density of states at the Fermi level: 0.84 states/eV/f.u.
# - ΔH_f (0 K): -0.07 eV/atom
data_Cd2CuRh
_cell_length_a 4.0625
_cell_length_b 4.0625
_cell_length_c 3.7890
_cell_angle_alpha 90.00
_cell_angle_beta 90.00
_cell_angle_gamma 90.00
_symmetry_space_group_name_H-M 'P 4/m m m'
_symmetry_Int_Tables_number 123
_symmetry_space_group_name_Hall '-P 4 2'
loop_
_atom_site_label
_atom_site_type_symbol
_atom_site_fract_x
_atom_site_fract_y
_atom_site_fract_z
_atom_site_occupancy
Cd1 Cd 0.0000 0.5000 0.0000 1
Cu1 Cu 0.0000 0.0000 0.5000 1
Rh1 Rh 0.5000 0.5000 0.5000 1

Record 5
# SrCa2 | the Alexandria database | PBEsol | relaxed
# - Magnetic moment: 0.003 μB/atom
# - Density of states at the Fermi level: 4.59 states/eV/f.u.
# - ΔH_f (0 K): 0.06 eV/atom
# - E above lowest polymorph: 46.6 meV per atom
data_SrCa2
_cell_length_a 6.3732
_cell_length_b 6.3732
_cell_length_c 3.8270
_cell_angle_alpha 90.00
_cell_angle_beta 90.00
_cell_angle_gamma 120.00
_symmetry_space_group_name_H-M 'P 6/m m m'
_symmetry_Int_Tables_number 191
_symmetry_space_group_name_Hall '-P 6 2'
loop_
_atom_site_label
_atom_site_type_symbol
_atom_site_fract_x
_atom_site_fract_y
_atom_site_fract_z
_atom_site_occupancy
Sr1 Sr 0.0000 0.0000 0.0000 1
Ca1 Ca 0.3333 0.6667 0.5000 1

Record 6
# ZrCuNO2 | the Alexandria database | PBEsol | relaxed
# - Magnetic moment: 0.000 μB/atom
# - Density of states at the Fermi level: 1.12 states/eV/f.u.
# - Formation energy from raw total energies: -399 kJ/mol of formula units
data_ZrCuNO2
_cell_length_a 3.6127
_cell_length_b 3.6127
_cell_length_c 3.7911
_cell_angle_alpha 90.00
_cell_angle_beta 90.00
_cell_angle_gamma 90.00
_symmetry_space_group_name_H-M 'P 4/m m m'
_symmetry_Int_Tables_number 123
_symmetry_space_group_name_Hall '-P 4 2'
loop_
_atom_site_label
_atom_site_type_symbol
_atom_site_fract_x
_atom_site_fract_y
_atom_site_fract_z
_atom_site_occupancy
Zr1 Zr 0.0000 0.0000 0.0000 1
Cu1 Cu 0.5000 0.5000 0.5000 1
N1 N 0.5000 0.5000 0.0000 1
O1 O 0.0000 0.5000 0.5000 1

Record 7
# Li2VO2F | the Alexandria database | PBEsol | relaxed
# - Magnetic moment: 0.331 μB/atom
# - Density of states at the Fermi level: 1.35 states/eV/f.u.
# - Formation energy from raw total energies: -1378 kJ/mol of formula units
# - E above lowest polymorph: 132.6 meV per atom
data_Li2VO2F
_cell_length_a 9.4169
_cell_length_b 4.0109
_cell_length_c 5.8674
_cell_angle_alpha 90.00
_cell_angle_beta 112.12
_cell_angle_gamma 90.00
_symmetry_space_group_name_H-M 'C 1 m 1'
_symmetry_Int_Tables_number 8
_symmetry_space_group_name_Hall 'C -2y'
loop_
_atom_site_label
_atom_site_type_symbol
_atom_site_fract_x
_atom_site_fract_y
_atom_site_fract_z
_atom_site_occupancy
Li1 Li 0.0000 0.0000 0.0000 1
Li2 Li 0.0176 0.0000 0.4640 1
Li3 Li 0.1913 0.5000 0.8207 1
Li4 Li 0.3492 0.0000 0.1365 1
V1 V 0.1948 0.5000 0.2813 1
V2 V 0.3607 0.0000 0.6556 1
O1 O 0.0229 0.5000 0.9794 1
O2 O 0.1915 0.0000 0.3180 1
O3 O 0.3440 0.5000 0.1503 1
O4 O 0.3454 0.5000 0.6282 1
F1 F 0.0223 0.5000 0.4874 1
F2 F 0.1928 0.0000 0.7919 1

Record 8
# MnVGaCo | the Alexandria database | PBEsol | relaxed
# - Magnetic moment: 0.025 μB/atom
# - Density of states at the Fermi level: 1.08 states/eV/f.u.
# - ΔH_f (0 K): -0.34 eV/atom
data_MnVGaCo
_cell_length_a 5.6681
_cell_length_b 5.6681
_cell_length_c 5.6681
_cell_angle_alpha 90.00
_cell_angle_beta 90.00
_cell_angle_gamma 90.00
_symmetry_space_group_name_H-M 'P -4 3 m'
_symmetry_Int_Tables_number 215
_symmetry_space_group_name_Hall 'P -4 2 3'
loop_
_atom_site_label
_atom_site_type_symbol
_atom_site_fract_x
_atom_site_fract_y
_atom_site_fract_z
_atom_site_occupancy
Mn1 Mn 0.0000 0.0000 0.0000 1
Mn2 Mn 0.0000 0.0000 0.5000 1
V1 V 0.2429 0.2429 0.7571 1
Ga1 Ga 0.2538 0.2538 0.2538 1
Co1 Co 0.0000 0.5000 0.5000 1
Co2 Co 0.5000 0.5000 0.5000 1

Record 9
# Al2MoRuO | the Alexandria database | PBEsol | relaxed
# - Magnetic moment: 0.363 μB/atom
# - Density of states at the Fermi level: 2.71 states/eV/f.u.
# - Formation energy from raw total energies: 446 kJ/mol of formula units
data_Al2MoRuO
_cell_length_a 4.5981
_cell_length_b 4.5981
_cell_length_c 4.6200
_cell_angle_alpha 90.00
_cell_angle_beta 90.00
_cell_angle_gamma 90.00
_symmetry_space_group_name_H-M 'P 4/m m m'
_symmetry_Int_Tables_number 123
_symmetry_space_group_name_Hall '-P 4 2'
loop_
_atom_site_label
_atom_site_type_symbol
_atom_site_fract_x
_atom_site_fract_y
_atom_site_fract_z
_atom_site_occupancy
Al1 Al 0.0000 0.5000 0.0000 1
Mo1 Mo 0.0000 0.0000 0.5000 1
Ru1 Ru 0.0000 0.0000 0.0000 1
O1 O 0.5000 0.5000 0.5000 1

Record 10
# ZnBP3 | the Alexandria database | PBEsol | relaxed
# - Magnetic moment: 0.000 μB/atom
# - Density of states at the Fermi level: 3.60 states/eV/f.u.
# - ΔH_f (0 K): 1.81 eV/atom
data_ZnBP3
_cell_length_a 4.5262
_cell_length_b 4.5262
_cell_length_c 4.5262
_cell_angle_alpha 90.00
_cell_angle_beta 90.00
_cell_angle_gamma 90.00
_symmetry_space_group_name_H-M 'P m -3 m'
_symmetry_Int_Tables_number 221
_symmetry_space_group_name_Hall '-P 4 2 3'
loop_
_atom_site_label
_atom_site_type_symbol
_atom_site_fract_x
_atom_site_fract_y
_atom_site_fract_z
_atom_site_occupancy
Zn1 Zn 0.0000 0.0000 0.0000 1
B1 B 0.5000 0.5000 0.5000 1
P1 P 0.0000 0.0000 0.5000 1

Record 11
# InCOF2 | the Alexandria database | PBEsol | relaxed
# - Magnetic moment: 0.200 μB/atom
# - Density of states at the Fermi level: 2.94 states/eV/f.u.
# - Formation energy from raw total energies: 43 kJ/mol of formula units
data_InCOF2
_cell_length_a 4.1195
_cell_length_b 4.1195
_cell_length_c 4.1695
_cell_angle_alpha 90.00
_cell_angle_beta 90.00
_cell_angle_gamma 90.00
_symmetry_space_group_name_H-M 'P 4/m m m'
_symmetry_Int_Tables_number 123
_symmetry_space_group_name_Hall '-P 4 2'
loop_
_atom_site_label
_atom_site_type_symbol
_atom_site_fract_x
_atom_site_fract_y
_atom_site_fract_z
_atom_site_occupancy
In1 In 0.0000 0.0000 0.0000 1
C1 C 0.5000 0.5000 0.5000 1
O1 O 0.0000 0.0000 0.5000 1
F1 F 0.0000 0.5000 0.0000 1

Record 12
# LaPAu2 | the Alexandria database | PBEsol | relaxed
# - Magnetic moment: 0.000 μB/atom
# - Density of states at the Fermi level: 1.52 states/eV/f.u.
# - ΔH_f (0 K): -0.46 eV/atom
data_LaPAu2
_cell_length_a 3.9174
_cell_length_b 3.9174
_cell_length_c 5.8580
_cell_angle_alpha 90.00
_cell_angle_beta 90.00
_cell_angle_gamma 90.00
_symmetry_space_group_name_H-M 'P 4 m m'
_symmetry_Int_Tables_number 99
_symmetry_space_group_name_Hall 'P 4 -2'
loop_
_atom_site_label
_atom_site_type_symbol
_atom_site_fract_x
_atom_site_fract_y
_atom_site_fract_z
_atom_site_occupancy
La1 La 0.0000 0.0000 0.0000 1
P1 P 0.5000 0.5000 0.1244 1
Au1 Au 0.0000 0.0000 0.5134 1
Au2 Au 0.5000 0.5000 0.5502 1